1.
! Li2Nb2Al2IrPt, relaxed, DFT PBE; values from VASP
&SYSTEM
  ibrav = 0, nat = 8, ntyp = 5
/
ATOMIC_SPECIES
Li 6.94 Li.upf
Nb 92.91 Nb.upf
Al 26.98 Al.upf
Ir 192.22 Ir.upf
Pt 195.08 Pt.upf
ATOMIC_POSITIONS crystal
Li 0.000 0.000 0.000
Li 0.500 0.500 0.500
Nb 0.000 0.500 0.245
Nb 0.500 0.000 0.755
Al 0.000 0.500 0.752
Al 0.500 0.000 0.248
Ir 0.500 0.500 0.000
Pt 0.000 0.000 0.500
CELL_PARAMETERS angstrom
4.380 0.000 0.000
0.000 4.380 0.000
0.000 0.000 6.188
! Total magnetization in μB/atom: 0.0820
! Crystal system: tetragonal
! VASP energy in eV/cell: -50.98

2.
! Li2ZrNbAl2Ir2, relaxed, DFT PBE; values from VASP
&SYSTEM
  ibrav = 0, nat = 8, ntyp = 5
/
ATOMIC_SPECIES
Li 6.94 Li.upf
Zr 91.22 Zr.upf
Nb 92.91 Nb.upf
Al 26.98 Al.upf
Ir 192.22 Ir.upf
ATOMIC_POSITIONS crystal
Li 0.000 0.500 0.244
Li 0.500 0.000 0.756
Zr 0.500 0.500 0.500
Nb 0.000 0.000 0.000
Al 0.000 0.000 0.500
Al 0.500 0.500 0.000
Ir 0.000 0.500 0.763
Ir 0.500 0.000 0.237
CELL_PARAMETERS angstrom
4.413 0.000 0.000
0.000 4.413 0.000
0.000 0.000 6.241
! Total magnetization in μB/atom: 0.0002
! Crystal system: tetragonal
! VASP energy in eV/cell: -53.22

3.
! Li4Al2NiIr, relaxed, DFT PBE; values from VASP
&SYSTEM
  ibrav = 0, nat = 8, ntyp = 4
/
ATOMIC_SPECIES
Li 6.94 Li.upf
Al 26.98 Al.upf
Ni 58.69 Ni.upf
Ir 192.22 Ir.upf
ATOMIC_POSITIONS crystal
Li 0.000 0.000 0.000
Li 0.000 0.500 0.743
Li 0.500 0.000 0.257
Li 0.500 0.500 0.500
Al 0.000 0.500 0.247
Al 0.500 0.000 0.753
Ni 0.000 0.000 0.500
Ir 0.500 0.500 0.000
CELL_PARAMETERS angstrom
4.195 0.000 0.000
0.000 4.195 0.000
0.000 0.000 5.931
! Total magnetization in μB/atom: 0.0022
! Crystal system: tetragonal
! VASP energy in eV/cell: -32.46

4.
! Li2Zr2Al2NiIr, relaxed, DFT PBE; values from VASP
&SYSTEM
  ibrav = 0, nat = 8, ntyp = 5
/
ATOMIC_SPECIES
Li 6.94 Li.upf
Zr 91.22 Zr.upf
Al 26.98 Al.upf
Ni 58.69 Ni.upf
Ir 192.22 Ir.upf
ATOMIC_POSITIONS crystal
Li 0.000 0.000 0.000
Li 0.500 0.500 0.500
Zr 0.000 0.500 0.739
Zr 0.500 0.000 0.261
Al 0.000 0.500 0.248
Al 0.500 0.000 0.752
Ni 0.000 0.000 0.500
Ir 0.500 0.500 0.000
CELL_PARAMETERS angstrom
4.416 0.000 0.000
0.000 4.416 0.000
0.000 0.000 6.235
! Total magnetization in μB/atom: 0.0075
! Crystal system: tetragonal
! VASP energy in eV/cell: -47.62

5.
! Li4AlIrO6, relaxed, DFT PBE; values from VASP
&SYSTEM
  ibrav = 0, nat = 12, ntyp = 4
/
ATOMIC_SPECIES
Li 6.94 Li.upf
Al 26.98 Al.upf
Ir 192.22 Ir.upf
O 16.00 O.upf
ATOMIC_POSITIONS crystal
Li 0.000 0.000 0.000
Li 0.341 0.659 0.000
Li 0.681 0.319 0.000
Li 0.841 0.159 0.500
Al 0.174 0.826 0.500
Ir 0.508 0.492 0.500
O 0.111 0.440 0.270
O 0.265 0.226 0.728
O 0.406 0.072 0.273
O 0.560 0.889 0.730
O 0.774 0.735 0.272
O 0.928 0.594 0.727
CELL_PARAMETERS angstrom
2.517 -4.353 0.000
2.517 4.353 0.000
-1.701 0.000 4.747
! Total magnetization in μB/atom: 0.1667
! Crystal system: monoclinic
! VASP energy in eV/cell: -72.61

6.
! Li2Ta2Al2IrPd, relaxed, DFT PBE; values from VASP
&SYSTEM
  ibrav = 0, nat = 8, ntyp = 5
/
ATOMIC_SPECIES
Li 6.94 Li.upf
Ta 180.95 Ta.upf
Al 26.98 Al.upf
Ir 192.22 Ir.upf
Pd 106.42 Pd.upf
ATOMIC_POSITIONS crystal
Li 0.000 0.000 0.000
Li 0.500 0.500 0.500
Ta 0.000 0.500 0.743
Ta 0.500 0.000 0.257
Al 0.000 0.500 0.246
Al 0.500 0.000 0.754
Ir 0.000 0.000 0.500
Pd 0.500 0.500 0.000
CELL_PARAMETERS angstrom
4.381 0.000 0.000
0.000 4.381 0.000
0.000 0.000 6.169
! Total magnetization in μB/atom: 0.0036
! Crystal system: tetragonal
! VASP energy in eV/cell: -52.41

7.
! Li2Al2Zn2IrPd, relaxed, DFT PBE; values from VASP
&SYSTEM
  ibrav = 0, nat = 8, ntyp = 5
/
ATOMIC_SPECIES
Li 6.94 Li.upf
Al 26.98 Al.upf
Zn 65.41 Zn.upf
Ir 192.22 Ir.upf
Pd 106.42 Pd.upf
ATOMIC_POSITIONS crystal
Li 0.000 0.000 0.000
Li 0.500 0.500 0.500
Al 0.000 0.500 0.242
Al 0.500 0.000 0.758
Zn 0.000 0.500 0.752
Zn 0.500 0.000 0.248
Ir 0.500 0.500 0.000
Pd 0.000 0.000 0.500
CELL_PARAMETERS angstrom
4.295 0.000 0.000
0.000 4.295 0.000
0.000 0.000 6.035
! Total magnetization in μB/atom: 0.0002
! Crystal system: tetragonal
! VASP energy in eV/cell: -32.26

8.
! Li2Zr2Al2IrPd, relaxed, DFT PBE; values from VASP
&SYSTEM
  ibrav = 0, nat = 8, ntyp = 5
/
ATOMIC_SPECIES
Li 6.94 Li.upf
Zr 91.22 Zr.upf
Al 26.98 Al.upf
Ir 192.22 Ir.upf
Pd 106.42 Pd.upf
ATOMIC_POSITIONS crystal
Li 0.000 0.000 0.000
Li 0.500 0.500 0.500
Zr 0.000 0.500 0.748
Zr 0.500 0.000 0.252
Al 0.000 0.500 0.258
Al 0.500 0.000 0.742
Ir 0.000 0.000 0.500
Pd 0.500 0.500 0.000
CELL_PARAMETERS angstrom
4.485 0.000 0.000
0.000 4.485 0.000
0.000 0.000 6.344
! Total magnetization in μB/atom: 0.0101
! Crystal system: tetragonal
! VASP energy in eV/cell: -47.85

9.
! Li4Al2IrPt, relaxed, DFT PBE; values from VASP
&SYSTEM
  ibrav = 0, nat = 8, ntyp = 4
/
ATOMIC_SPECIES
Li 6.94 Li.upf
Al 26.98 Al.upf
Ir 192.22 Ir.upf
Pt 195.08 Pt.upf
ATOMIC_POSITIONS crystal
Li 0.000 0.000 0.000
Li 0.000 0.500 0.750
Li 0.500 0.000 0.250
Li 0.500 0.500 0.500
Al 0.000 0.500 0.241
Al 0.500 0.000 0.759
Ir 0.500 0.500 0.000
Pt 0.000 0.000 0.500
CELL_PARAMETERS angstrom
4.231 0.000 0.000
0.000 4.231 0.000
0.000 0.000 6.004
! Total magnetization in μB/atom: 0.0011
! Crystal system: tetragonal
! VASP energy in eV/cell: -34.81

10.
! Li2Ta2Al2IrPt, relaxed, DFT PBE; values from VASP
&SYSTEM
  ibrav = 0, nat = 8, ntyp = 5
/
ATOMIC_SPECIES
Li 6.94 Li.upf
Ta 180.95 Ta.upf
Al 26.98 Al.upf
Ir 192.22 Ir.upf
Pt 195.08 Pt.upf
ATOMIC_POSITIONS crystal
Li 0.000 0.000 0.000
Li 0.500 0.500 0.500
Ta 0.000 0.500 0.745
Ta 0.500 0.000 0.255
Al 0.000 0.500 0.252
Al 0.500 0.000 0.748
Ir 0.000 0.000 0.500
Pt 0.500 0.500 0.000
CELL_PARAMETERS angstrom
4.376 0.000 0.000
0.000 4.376 0.000
0.000 0.000 6.175
! Total magnetization in μB/atom: 0.0755
! Crystal system: tetragonal
! VASP energy in eV/cell: -54.28

11.
! Li2Zr2Al2IrPt, relaxed, DFT PBE; values from VASP
&SYSTEM
  ibrav = 0, nat = 8, ntyp = 5
/
ATOMIC_SPECIES
Li 6.94 Li.upf
Zr 91.22 Zr.upf
Al 26.98 Al.upf
Ir 192.22 Ir.upf
Pt 195.08 Pt.upf
ATOMIC_POSITIONS crystal
Li 0.000 0.000 0.000
Li 0.500 0.500 0.500
Zr 0.000 0.500 0.748
Zr 0.500 0.000 0.252
Al 0.000 0.500 0.256
Al 0.500 0.000 0.744
Ir 0.000 0.000 0.500
Pt 0.500 0.500 0.000
CELL_PARAMETERS angstrom
4.483 0.000 0.000
0.000 4.483 0.000
0.000 0.000 6.336
! Total magnetization in μB/atom: 0.0183
! Crystal system: tetragonal
! VASP energy in eV/cell: -49.69

12.
! LiAlSbIr, relaxed, DFT PBE; values from VASP
&SYSTEM
  ibrav = 0, nat = 4, ntyp = 4
/
ATOMIC_SPECIES
Li 6.94 Li.upf
Al 26.98 Al.upf
Sb 121.76 Sb.upf
Ir 192.22 Ir.upf
ATOMIC_POSITIONS crystal
Li 0.000 0.000 0.000
Al 0.500 0.500 0.500
Sb 0.250 0.250 0.250
Ir 0.750 0.750 0.750
CELL_PARAMETERS angstrom
0.000 3.186 3.186
3.186 0.000 3.186
3.186 3.186 0.000
! Distance to the lowest polymorph of the same formula in eV/atom: 0.293
! Total magnetization in μB/atom: 0.0006
! Crystal system: cubic